Entry 1:
## AuIO3 (SCAN)

Data for a PBEsol-optimized structure of AuIO3.

As for the total energy: -123.07 eV per formula unit. The raw formation energy is 1.53 eV/f.u. The calculation puts the spin magnetization at 0.000 μB/cell.

Cell lengths 4.0991, 4.0991, 4.0991 Å; angles 90.00, 90.00, 90.00 degrees
Last column: nearest neighbours and their distance in Å.
Space group Pm-3m (No. 221)
Inequivalent atoms, fractional coordinates:
1 Au 0.0000 0.0000 0.0000 (multiplicity 1)  12 O 2.90
2 I 0.5000 0.5000 0.5000 (multiplicity 1)  6 O 2.05
3 O 0.0000 0.5000 0.5000 (multiplicity 3)  2 I 2.05


Entry 2:
## RhAuIO2 (SCAN)

Data for a PBEsol-optimized structure of RhAuIO2.

As for the total energy: -152.46 eV per formula unit. The raw formation energy is -0.32 eV/f.u. The calculation puts the spin magnetization at 0.000 μB/cell.

Cell lengths 3.7587, 3.7587, 7.5526 Å; angles 90.00, 90.00, 90.00 degrees
Last column: nearest neighbours and their distance in Å.
Space group P4/mmm (No. 123)
Inequivalent atoms, fractional coordinates:
1 Rh 0.0000 0.0000 0.0000 (multiplicity 1)  4 O 1.88
2 Au 0.5000 0.5000 0.5000 (multiplicity 1)  4 I 2.66
3 I 0.0000 0.0000 0.5000 (multiplicity 1)  4 Au 2.66
4 O 0.0000 0.5000 0.0000 (multiplicity 2)  2 Rh 1.88


Entry 3:
## RuAuI2O (SCAN)

Data for a PBEsol-optimized structure of RuAuI2O.

As for the total energy: -179.65 eV per formula unit. The raw formation energy is 4.04 eV/f.u. The calculation puts the spin magnetization at 3.597 μB/cell.

Cell lengths 5.5883, 5.5883, 3.8421 Å; angles 90.00, 90.00, 90.00 degrees
Last column: nearest neighbours and their distance in Å.
Space group P4/mmm (No. 123)
Inequivalent atoms, fractional coordinates:
1 Ru 0.0000 0.0000 0.0000 (multiplicity 1)  8 I 3.39
2 Au 0.5000 0.5000 0.5000 (multiplicity 1)  2 O 1.92
3 I 0.0000 0.5000 0.5000 (multiplicity 2)  2 Au 2.79
4 O 0.5000 0.5000 0.0000 (multiplicity 1)  2 Au 1.92


Entry 4:
## SbAuI2O (SCAN)

Data for a PBEsol-optimized structure of SbAuI2O.

As for the total energy: -183.19 eV per formula unit. The raw formation energy is 2.94 eV/f.u. The calculation puts the spin magnetization at 0.705 μB/cell.

Cell lengths 5.3465, 5.3465, 4.2534 Å; angles 90.00, 90.00, 90.00 degrees
Last column: nearest neighbours and their distance in Å.
Space group P4/mmm (No. 123)
Inequivalent atoms, fractional coordinates:
1 Sb 0.0000 0.0000 0.0000 (multiplicity 1)  2 O 2.13
2 Au 0.5000 0.5000 0.0000 (multiplicity 1)  8 I 3.42, 4 Sb 3.78
3 I 0.0000 0.5000 0.5000 (multiplicity 2)  2 O 2.67
4 O 0.0000 0.0000 0.5000 (multiplicity 1)  2 Sb 2.13


Entry 5:
## AuSeI2O (SCAN)

Data for a PBEsol-optimized structure of AuSeI2O.

As for the total energy: -167.29 eV per formula unit. The raw formation energy is 1.66 eV/f.u. The calculation puts the spin magnetization at 0.000 μB/cell.

Cell lengths 5.6228, 5.6228, 3.7543 Å; angles 90.00, 90.00, 90.00 degrees
Last column: nearest neighbours and their distance in Å.
Space group P4/mmm (No. 123)
Inequivalent atoms, fractional coordinates:
1 Au 0.0000 0.0000 0.0000 (multiplicity 1)  8 I 3.38, 2 Au 3.75
2 Se 0.5000 0.5000 0.5000 (multiplicity 1)  2 O 1.88
3 I 0.0000 0.5000 0.5000 (multiplicity 2)  2 Se 2.81
4 O 0.5000 0.5000 0.0000 (multiplicity 1)  2 Se 1.88


Entry 6:
## SrAuIO2 (SCAN)

Data for a PBEsol-optimized structure of SrAuIO2.

As for the total energy: -142.04 eV per formula unit. The raw formation energy is -1.40 eV/f.u. The calculation puts the spin magnetization at 2.091 μB/cell.

Cell lengths 4.3796, 4.3796, 6.9448 Å; angles 90.00, 90.00, 90.00 degrees
Last column: nearest neighbours and their distance in Å.
Space group P4/mmm (No. 123)
Inequivalent atoms, fractional coordinates:
1 Sr 0.0000 0.0000 0.0000 (multiplicity 1)  4 O 2.19
2 Au 0.5000 0.5000 0.5000 (multiplicity 1)  4 I 3.10
3 I 0.0000 0.0000 0.5000 (multiplicity 1)  4 Au 3.10
4 O 0.0000 0.5000 0.0000 (multiplicity 2)  2 Sr 2.19


Entry 7:
## TeAuI2O (SCAN)

Data for a PBEsol-optimized structure of TeAuI2O.

As for the total energy: -184.16 eV per formula unit. The raw formation energy is 1.96 eV/f.u. The calculation puts the spin magnetization at 0.719 μB/cell.

Cell lengths 5.7158, 5.7158, 3.9038 Å; angles 90.00, 90.00, 90.00 degrees
Last column: nearest neighbours and their distance in Å.
Space group P4/mmm (No. 123)
Inequivalent atoms, fractional coordinates:
1 Te 0.0000 0.0000 0.0000 (multiplicity 1)  8 I 3.46
2 Au 0.5000 0.5000 0.5000 (multiplicity 1)  2 O 1.95
3 I 0.0000 0.5000 0.5000 (multiplicity 2)  2 Au 2.86
4 O 0.5000 0.5000 0.0000 (multiplicity 1)  2 Au 1.95


Entry 8:
## TlAuIO2 (SCAN)

Data for a PBEsol-optimized structure of TlAuIO2.

As for the total energy: -189.29 eV per formula unit. The raw formation energy is 1.43 eV/f.u. The calculation puts the spin magnetization at 0.479 μB/cell.

Cell lengths 4.0652, 4.0652, 6.8728 Å; angles 90.00, 90.00, 90.00 degrees
Last column: nearest neighbours and their distance in Å.
Space group P4/mmm (No. 123)
Inequivalent atoms, fractional coordinates:
1 Tl 0.0000 0.0000 0.0000 (multiplicity 1)  4 O 2.03
2 Au 0.5000 0.5000 0.5000 (multiplicity 1)  4 I 2.87
3 I 0.0000 0.0000 0.5000 (multiplicity 1)  4 Au 2.87
4 O 0.0000 0.5000 0.0000 (multiplicity 2)  2 Tl 2.03


Copy entry 7 word for word.
## TeAuI2O (SCAN)

Data for a PBEsol-optimized structure of TeAuI2O.

As for the total energy: -184.16 eV per formula unit. The raw formation energy is 1.96 eV/f.u. The calculation puts the spin magnetization at 0.719 μB/cell.

Cell lengths 5.7158, 5.7158, 3.9038 Å; angles 90.00, 90.00, 90.00 degrees
Last column: nearest neighbours and their distance in Å.
Space group P4/mmm (No. 123)
Inequivalent atoms, fractional coordinates:
1 Te 0.0000 0.0000 0.0000 (multiplicity 1)  8 I 3.46
2 Au 0.5000 0.5000 0.5000 (multiplicity 1)  2 O 1.95
3 I 0.0000 0.5000 0.5000 (multiplicity 2)  2 Au 2.86
4 O 0.5000 0.5000 0.0000 (multiplicity 1)  2 Au 1.95


Copy entry 4 word for word.
## SbAuI2O (SCAN)

Data for a PBEsol-optimized structure of SbAuI2O.

As for the total energy: -183.19 eV per formula unit. The raw formation energy is 2.94 eV/f.u. The calculation puts the spin magnetization at 0.705 μB/cell.

Cell lengths 5.3465, 5.3465, 4.2534 Å; angles 90.00, 90.00, 90.00 degrees
Last column: nearest neighbours and their distance in Å.
Space group P4/mmm (No. 123)
Inequivalent atoms, fractional coordinates:
1 Sb 0.0000 0.0000 0.0000 (multiplicity 1)  2 O 2.13
2 Au 0.5000 0.5000 0.0000 (multiplicity 1)  8 I 3.42, 4 Sb 3.78
3 I 0.0000 0.5000 0.5000 (multiplicity 2)  2 O 2.67
4 O 0.0000 0.0000 0.5000 (multiplicity 1)  2 Sb 2.13